(1)
The following is a DFT calculation (PBE-GGA) of an optimized crystal structure of LiSiNi.

**Fermi-level density of states**: 0.28 states/eV per atom
**Uncorrected energy**: -28.65 eV per cell
**Magnetization**: 0.0 μB/f.u.

Lattice parameters (Å, degrees): 3.9144 3.8999 5.0755 90.00 112.39 90.00
Fractional coordinates of all 6 atoms:
Li1 0.0800 0.2500 0.1591
Li2 0.9200 0.7500 0.8409
Si1 0.3870 0.2500 0.7750
Si2 0.6130 0.7500 0.2250
Ni1 0.2359 0.7500 0.4727
Ni2 0.7641 0.2500 0.5273

---

(2)
The following is a DFT calculation (PBE-GGA) of an optimized crystal structure of Ta2GaTe4.

**Fermi-level density of states**: 0.30 states/eV per atom
**Uncorrected energy**: -81.83 eV per cell
**Magnetization**: 0.0 μB/f.u.

Lattice parameters (Å, degrees): 8.2349 8.2349 8.2349 57.60 57.60 57.60
Fractional coordinates of all 14 atoms:
Ta1 0.0000 0.0000 0.0000
Ta2 0.0213 0.0212 0.3897
Ta3 0.0213 0.3897 0.0213
Ta4 0.3897 0.0213 0.0212
Ga1 0.4847 0.4847 0.4847
Ga2 0.6240 0.6240 0.6240
Te1 0.1976 0.7456 0.7456
Te2 0.2327 0.2327 0.7062
Te3 0.2327 0.7062 0.2327
Te4 0.2497 0.2497 0.2497
Te5 0.7062 0.2327 0.2327
Te6 0.7456 0.1976 0.7456
Te7 0.7456 0.7456 0.1976
Te8 0.7541 0.7541 0.7541

---

(3)
The following is a DFT calculation (PBE-GGA) of an optimized crystal structure of Nd3Si2Pt9.

**Fermi-level density of states**: 0.50 states/eV per atom
**Uncorrected energy**: -185.36 eV per cell
**Magnetization**: 0.0 μB/f.u.

Lattice parameters (Å, degrees): 6.3850 6.3850 14.9199 90.00 90.00 120.00
Fractional coordinates of all 28 atoms:
Nd1 0.0000 0.0000 0.2500
Nd2 0.0000 0.0000 0.7500
Nd3 0.3333 0.6667 0.0729
Nd4 0.3333 0.6667 0.4271
Nd5 0.6667 0.3333 0.5729
Nd6 0.6667 0.3333 0.9271
Si1 0.3333 0.6667 0.6558
Si2 0.3333 0.6667 0.8442
Si3 0.6667 0.3333 0.1558
Si4 0.6667 0.3333 0.3442
Pt1 0.0368 0.5184 0.2500
Pt2 0.1476 0.2951 0.5786
Pt3 0.1476 0.2951 0.9214
Pt4 0.1476 0.8524 0.5786
Pt5 0.1476 0.8524 0.9214
Pt6 0.2951 0.1476 0.0786
Pt7 0.2951 0.1476 0.4214
Pt8 0.4816 0.5184 0.2500
Pt9 0.4816 0.9632 0.2500
Pt10 0.5184 0.0368 0.7500
Pt11 0.5184 0.4816 0.7500
Pt12 0.7049 0.8524 0.5786
Pt13 0.7049 0.8524 0.9214
Pt14 0.8524 0.1476 0.0786
Pt15 0.8524 0.1476 0.4214
Pt16 0.8524 0.7049 0.0786
Pt17 0.8524 0.7049 0.4214
Pt18 0.9632 0.4816 0.7500

---

Please write out number 1 again, unchanged.
The following is a DFT calculation (PBE-GGA) of an optimized crystal structure of LiSiNi.

**Fermi-level density of states**: 0.28 states/eV per atom
**Uncorrected energy**: -28.65 eV per cell
**Magnetization**: 0.0 μB/f.u.

Lattice parameters (Å, degrees): 3.9144 3.8999 5.0755 90.00 112.39 90.00
Fractional coordinates of all 6 atoms:
Li1 0.0800 0.2500 0.1591
Li2 0.9200 0.7500 0.8409
Si1 0.3870 0.2500 0.7750
Si2 0.6130 0.7500 0.2250
Ni1 0.2359 0.7500 0.4727
Ni2 0.7641 0.2500 0.5273

---

Question: Among the records above, which one has the lowest Fermi-level density of states?
Answer: LiSiNi

---

Question: Look up the uncorrected energy of the third one.
Answer: -185.36 eV per cell